1.
# GGA-PBE LiUAs, optimized geometry
data_LiUAs
_space_group_name_H-M_alt 'P 1'
_space_group_IT_number 1
_cell_length_a 4.6330
_cell_length_b 4.6330
_cell_length_c 4.6330
_cell_angle_alpha 60.00
_cell_angle_beta 60.00
_cell_angle_gamma 60.00
loop_
_space_group_symop_operation_xyz
'x,y,z'
loop_
_atom_site_label
_atom_site_type_symbol
_atom_site_fract_x
_atom_site_fract_y
_atom_site_fract_z
Li1 Li 0.0000 0.0000 0.0000
U1 U 0.5000 0.5000 0.5000
As1 As 0.2500 0.2500 0.2500
# Space group = F-43m (216)
# E above lowest polymorph = 0 meV per atom
# Crystal system = cubic


2.
# GGA-PBE LiZnAs, optimized geometry
data_LiZnAs
_space_group_name_H-M_alt 'P 1'
_space_group_IT_number 1
_cell_length_a 4.2177
_cell_length_b 3.9586
_cell_length_c 11.4143
_cell_angle_alpha 90.00
_cell_angle_beta 90.00
_cell_angle_gamma 90.00
loop_
_space_group_symop_operation_xyz
'x,y,z'
loop_
_atom_site_label
_atom_site_type_symbol
_atom_site_fract_x
_atom_site_fract_y
_atom_site_fract_z
Li1 Li 0.2442 0.2500 0.1739
Li2 Li 0.2558 0.7500 0.6739
Li3 Li 0.7442 0.2500 0.3261
Li4 Li 0.7558 0.7500 0.8261
Zn1 Zn 0.2459 0.2500 0.5055
Zn2 Zn 0.2541 0.7500 0.0055
Zn3 Zn 0.7459 0.2500 0.9945
Zn4 Zn 0.7541 0.7500 0.4945
As1 As 0.2439 0.2500 0.8593
As2 As 0.2561 0.7500 0.3593
As3 As 0.7439 0.2500 0.6407
As4 As 0.7561 0.7500 0.1407
# Space group = Pnma (62)
# Crystal system = orthorhombic
# Raw total energy = -2.94 eV/atom


3.
# GGA-PBE LiZnAs, optimized geometry
data_LiZnAs
_space_group_name_H-M_alt 'P 1'
_space_group_IT_number 1
_cell_length_a 6.8938
_cell_length_b 6.8938
_cell_length_c 3.6293
_cell_angle_alpha 90.00
_cell_angle_beta 90.00
_cell_angle_gamma 120.00
loop_
_space_group_symop_operation_xyz
'x,y,z'
loop_
_atom_site_label
_atom_site_type_symbol
_atom_site_fract_x
_atom_site_fract_y
_atom_site_fract_z
Li1 Li 0.0000 0.6117 0.0000
Li2 Li 0.3883 0.3883 0.0000
Li3 Li 0.6117 0.0000 0.0000
Zn1 Zn 0.0000 0.0000 0.0000
Zn2 Zn 0.3333 0.6667 0.5000
Zn3 Zn 0.6667 0.3333 0.5000
As1 As 0.0000 0.2896 0.5000
As2 As 0.2896 0.0000 0.5000
As3 As 0.7104 0.7104 0.5000
# Space group = P-62m (189)
# Crystal system = hexagonal
# Raw total energy = -2.90 eV/atom


4.
# GGA-PBE LiZnAs, optimized geometry
data_LiZnAs
_space_group_name_H-M_alt 'P 1'
_space_group_IT_number 1
_cell_length_a 6.7528
_cell_length_b 4.0429
_cell_length_c 7.4185
_cell_angle_alpha 90.00
_cell_angle_beta 90.00
_cell_angle_gamma 90.00
loop_
_space_group_symop_operation_xyz
'x,y,z'
loop_
_atom_site_label
_atom_site_type_symbol
_atom_site_fract_x
_atom_site_fract_y
_atom_site_fract_z
Li1 Li 0.0290 0.2500 0.1723
Li2 Li 0.4710 0.7500 0.6723
Li3 Li 0.5290 0.2500 0.3277
Li4 Li 0.9710 0.7500 0.8277
Zn1 Zn 0.1420 0.2500 0.5655
Zn2 Zn 0.3580 0.7500 0.0655
Zn3 Zn 0.6420 0.2500 0.9345
Zn4 Zn 0.8580 0.7500 0.4345
As1 As 0.2413 0.7500 0.3859
As2 As 0.2587 0.2500 0.8859
As3 As 0.7413 0.7500 0.1141
As4 As 0.7587 0.2500 0.6141
# Space group = Pnma (62)
# Crystal system = orthorhombic
# Raw total energy = -3.08 eV/atom


5.
# GGA-PBE LiZnAs, optimized geometry
data_LiZnAs
_space_group_name_H-M_alt 'P 1'
_space_group_IT_number 1
_cell_length_a 6.5812
_cell_length_b 6.5812
_cell_length_c 4.0007
_cell_angle_alpha 90.00
_cell_angle_beta 90.00
_cell_angle_gamma 120.00
loop_
_space_group_symop_operation_xyz
'x,y,z'
loop_
_atom_site_label
_atom_site_type_symbol
_atom_site_fract_x
_atom_site_fract_y
_atom_site_fract_z
Li1 Li 0.0000 0.5824 0.0000
Li2 Li 0.4176 0.4176 0.0000
Li3 Li 0.5824 0.0000 0.0000
Zn1 Zn 0.0000 0.2640 0.5000
Zn2 Zn 0.2640 0.0000 0.5000
Zn3 Zn 0.7360 0.7360 0.5000
As1 As 0.0000 0.0000 0.0000
As2 As 0.3333 0.6667 0.5000
As3 As 0.6667 0.3333 0.5000
# Space group = P-62m (189)
# Crystal system = hexagonal
# Raw total energy = -3.05 eV/atom


6.
# GGA-PBE Li2ZrAs, optimized geometry
data_Li2ZrAs
_space_group_name_H-M_alt 'P 1'
_space_group_IT_number 1
_cell_length_a 4.5037
_cell_length_b 4.5037
_cell_length_c 4.5037
_cell_angle_alpha 60.00
_cell_angle_beta 60.00
_cell_angle_gamma 60.00
loop_
_space_group_symop_operation_xyz
'x,y,z'
loop_
_atom_site_label
_atom_site_type_symbol
_atom_site_fract_x
_atom_site_fract_y
_atom_site_fract_z
Li1 Li 0.0000 0.0000 0.0000
Li2 Li 0.2500 0.2500 0.2500
Zr1 Zr 0.7500 0.7500 0.7500
As1 As 0.5000 0.5000 0.5000
# Space group = F-43m (216)
# Crystal system = cubic
# Raw total energy = -4.52 eV/atom


7.
# GGA-PBE Li3ZrAs2, optimized geometry
data_Li3ZrAs2
_space_group_name_H-M_alt 'P 1'
_space_group_IT_number 1
_cell_length_a 7.8300
_cell_length_b 7.8300
_cell_length_c 7.8300
_cell_angle_alpha 133.93
_cell_angle_beta 65.06
_cell_angle_gamma 136.70
loop_
_space_group_symop_operation_xyz
'x,y,z'
loop_
_atom_site_label
_atom_site_type_symbol
_atom_site_fract_x
_atom_site_fract_y
_atom_site_fract_z
Li1 Li 0.1839 0.1857 0.3696
Li2 Li 0.2500 0.2500 0.0000
Li3 Li 0.3161 0.6857 0.0018
Li4 Li 0.6839 0.3143 0.9982
Li5 Li 0.7500 0.7500 0.0000
Li6 Li 0.8161 0.8143 0.6304
Zr1 Zr 0.2500 0.7500 0.5000
Zr2 Zr 0.7500 0.2500 0.5000
As1 As 0.1230 0.7573 0.8803
As2 As 0.3770 0.2573 0.6343
As3 As 0.6230 0.7427 0.3657
As4 As 0.8770 0.2427 0.1197
# Space group = Ibam (72)
# Crystal system = orthorhombic
# Raw total energy = -4.58 eV/atom


8.
# GGA-PBE LuAs, optimized geometry
data_LuAs
_space_group_name_H-M_alt 'P 1'
_space_group_IT_number 1
_cell_length_a 4.4830
_cell_length_b 4.4830
_cell_length_c 4.4830
_cell_angle_alpha 60.00
_cell_angle_beta 60.00
_cell_angle_gamma 60.00
loop_
_space_group_symop_operation_xyz
'x,y,z'
loop_
_atom_site_label
_atom_site_type_symbol
_atom_site_fract_x
_atom_site_fract_y
_atom_site_fract_z
Lu1 Lu 0.0000 0.0000 0.0000
As1 As 0.2500 0.2500 0.2500
# Space group = F-43m (216)
# Crystal system = cubic
# Raw total energy = -5.55 eV/atom


9.
# GGA-PBE LuAs, optimized geometry
data_LuAs
_space_group_name_H-M_alt 'P 1'
_space_group_IT_number 1
_cell_length_a 6.1161
_cell_length_b 5.4843
_cell_length_c 5.4228
_cell_angle_alpha 90.00
_cell_angle_beta 90.00
_cell_angle_gamma 90.00
loop_
_space_group_symop_operation_xyz
'x,y,z'
loop_
_atom_site_label
_atom_site_type_symbol
_atom_site_fract_x
_atom_site_fract_y
_atom_site_fract_z
Lu1 Lu 0.0000 0.0000 0.0000
Lu2 Lu 0.2500 0.5000 0.3262
Lu3 Lu 0.5000 0.0000 0.0000
Lu4 Lu 0.7500 0.5000 0.6738
As1 As 0.2500 0.0000 0.4701
As2 As 0.2500 0.5000 0.8314
As3 As 0.7500 0.0000 0.5299
As4 As 0.7500 0.5000 0.1686
# Space group = Pmma (51)
# Crystal system = orthorhombic
# Raw total energy = -5.46 eV/atom


10.
# GGA-PBE LuAs, optimized geometry
data_LuAs
_space_group_name_H-M_alt 'P 1'
_space_group_IT_number 1
_cell_length_a 3.9269
_cell_length_b 3.9269
_cell_length_c 3.5909
_cell_angle_alpha 90.00
_cell_angle_beta 90.00
_cell_angle_gamma 120.00
loop_
_space_group_symop_operation_xyz
'x,y,z'
loop_
_atom_site_label
_atom_site_type_symbol
_atom_site_fract_x
_atom_site_fract_y
_atom_site_fract_z
Lu1 Lu 0.0000 0.0000 0.0000
As1 As 0.3333 0.6667 0.5000
# Space group = P-6m2 (187)
# Crystal system = hexagonal
# Raw total energy = -5.75 eV/atom


11.
# GGA-PBE Lu2As, optimized geometry
data_Lu2As
_space_group_name_H-M_alt 'P 1'
_space_group_IT_number 1
_cell_length_a 5.9979
_cell_length_b 5.9979
_cell_length_c 5.9979
_cell_angle_alpha 60.00
_cell_angle_beta 60.00
_cell_angle_gamma 60.00
loop_
_space_group_symop_operation_xyz
'x,y,z'
loop_
_atom_site_label
_atom_site_type_symbol
_atom_site_fract_x
_atom_site_fract_y
_atom_site_fract_z
Lu1 Lu 0.0000 0.0000 0.0000
Lu2 Lu 0.0000 0.0000 0.5000
Lu3 Lu 0.0000 0.5000 0.0000
Lu4 Lu 0.5000 0.0000 0.0000
As1 As 0.3750 0.3750 0.3750
As2 As 0.6250 0.6250 0.6250
# Space group = Fd-3m (227)
# Crystal system = cubic
# Raw total energy = -4.40 eV/atom


12.
# GGA-PBE LuAs, optimized geometry
data_LuAs
_space_group_name_H-M_alt 'P 1'
_space_group_IT_number 1
_cell_length_a 4.0283
_cell_length_b 4.0283
_cell_length_c 4.0283
_cell_angle_alpha 60.00
_cell_angle_beta 60.00
_cell_angle_gamma 60.00
loop_
_space_group_symop_operation_xyz
'x,y,z'
loop_
_atom_site_label
_atom_site_type_symbol
_atom_site_fract_x
_atom_site_fract_y
_atom_site_fract_z
Lu1 Lu 0.0000 0.0000 0.0000
As1 As 0.5000 0.5000 0.5000
# Space group = Fm-3m (225)
# Crystal system = cubic
# Raw total energy = -6.06 eV/atom


13.
# GGA-PBE Lu2As, optimized geometry
data_Lu2As
_space_group_name_H-M_alt 'P 1'
_space_group_IT_number 1
_cell_length_a 8.7913
_cell_length_b 8.7913
_cell_length_c 8.7913
_cell_angle_alpha 60.00
_cell_angle_beta 60.00
_cell_angle_gamma 60.00
loop_
_space_group_symop_operation_xyz
'x,y,z'
loop_
_atom_site_label
_atom_site_type_symbol
_atom_site_fract_x
_atom_site_fract_y
_atom_site_fract_z
Lu1 Lu 0.0000 0.0000 0.0000
Lu2 Lu 0.0000 0.0000 0.5000
Lu3 Lu 0.0000 0.5000 0.0000
Lu4 Lu 0.5000 0.0000 0.0000
As1 As 0.1250 0.1250 0.1250
As2 As 0.8750 0.8750 0.8750
# Space group = Fd-3m (227)
# Crystal system = cubic
# Raw total energy = -3.85 eV/atom


14.
# GGA-PBE Lu2As, optimized geometry
data_Lu2As
_space_group_name_H-M_alt 'P 1'
_space_group_IT_number 1
_cell_length_a 4.7016
_cell_length_b 4.7016
_cell_length_c 4.7016
_cell_angle_alpha 60.00
_cell_angle_beta 60.00
_cell_angle_gamma 60.00
loop_
_space_group_symop_operation_xyz
'x,y,z'
loop_
_atom_site_label
_atom_site_type_symbol
_atom_site_fract_x
_atom_site_fract_y
_atom_site_fract_z
Lu1 Lu 0.2500 0.2500 0.2500
Lu2 Lu 0.7500 0.7500 0.7500
As1 As 0.0000 0.0000 0.0000
# Space group = Fm-3m (225)
# Crystal system = cubic
# Raw total energy = -5.18 eV/atom


15.
# GGA-PBE LuMgAs, optimized geometry
data_LuMgAs
_space_group_name_H-M_alt 'P 1'
_space_group_IT_number 1
_cell_length_a 4.6415
_cell_length_b 4.6415
_cell_length_c 4.6415
_cell_angle_alpha 60.00
_cell_angle_beta 60.00
_cell_angle_gamma 60.00
loop_
_space_group_symop_operation_xyz
'x,y,z'
loop_
_atom_site_label
_atom_site_type_symbol
_atom_site_fract_x
_atom_site_fract_y
_atom_site_fract_z
Lu1 Lu 0.0000 0.0000 0.0000
Mg1 Mg 0.5000 0.5000 0.5000
As1 As 0.2500 0.2500 0.2500
# Space group = F-43m (216)
# Crystal system = cubic
# Raw total energy = -4.00 eV/atom


16.
# GGA-PBE LuMgNiAs, optimized geometry
data_LuMgNiAs
_space_group_name_H-M_alt 'P 1'
_space_group_IT_number 1
_cell_length_a 4.6670
_cell_length_b 4.6670
_cell_length_c 4.6670
_cell_angle_alpha 60.00
_cell_angle_beta 60.00
_cell_angle_gamma 60.00
loop_
_space_group_symop_operation_xyz
'x,y,z'
loop_
_atom_site_label
_atom_site_type_symbol
_atom_site_fract_x
_atom_site_fract_y
_atom_site_fract_z
Lu1 Lu 0.0000 0.0000 0.0000
Mg1 Mg 0.7500 0.7500 0.7500
Ni1 Ni 0.5000 0.5000 0.5000
As1 As 0.2500 0.2500 0.2500
# Space group = F-43m (216)
# E above lowest polymorph = 0 meV per atom
# Crystal system = cubic


17.
# GGA-PBE LuMgNiAs, optimized geometry
data_LuMgNiAs
_space_group_name_H-M_alt 'P 1'
_space_group_IT_number 1
_cell_length_a 4.6858
_cell_length_b 4.6858
_cell_length_c 4.6858
_cell_angle_alpha 60.00
_cell_angle_beta 60.00
_cell_angle_gamma 60.00
loop_
_space_group_symop_operation_xyz
'x,y,z'
loop_
_atom_site_label
_atom_site_type_symbol
_atom_site_fract_x
_atom_site_fract_y
_atom_site_fract_z
Lu1 Lu 0.0000 0.0000 0.0000
Mg1 Mg 0.2500 0.2500 0.2500
Ni1 Ni 0.7500 0.7500 0.7500
As1 As 0.5000 0.5000 0.5000
# Space group = F-43m (216)
# E above lowest polymorph = 38 meV per atom
# Crystal system = cubic


18.
# GGA-PBE LuMoAs, optimized geometry
data_LuMoAs
_space_group_name_H-M_alt 'P 1'
_space_group_IT_number 1
_cell_length_a 4.4272
_cell_length_b 4.4272
_cell_length_c 4.4272
_cell_angle_alpha 60.00
_cell_angle_beta 60.00
_cell_angle_gamma 60.00
loop_
_space_group_symop_operation_xyz
'x,y,z'
loop_
_atom_site_label
_atom_site_type_symbol
_atom_site_fract_x
_atom_site_fract_y
_atom_site_fract_z
Lu1 Lu 0.0000 0.0000 0.0000
Mo1 Mo 0.5000 0.5000 0.5000
As1 As 0.2500 0.2500 0.2500
# Space group = F-43m (216)
# Crystal system = cubic
# Raw total energy = -6.81 eV/atom


19.
# GGA-PBE Lu2MoAs, optimized geometry
data_Lu2MoAs
_space_group_name_H-M_alt 'P 1'
_space_group_IT_number 1
_cell_length_a 4.8091
_cell_length_b 4.8091
_cell_length_c 4.8091
_cell_angle_alpha 60.00
_cell_angle_beta 60.00
_cell_angle_gamma 60.00
loop_
_space_group_symop_operation_xyz
'x,y,z'
loop_
_atom_site_label
_atom_site_type_symbol
_atom_site_fract_x
_atom_site_fract_y
_atom_site_fract_z
Lu1 Lu 0.0000 0.0000 0.0000
Lu2 Lu 0.2500 0.2500 0.2500
Mo1 Mo 0.7500 0.7500 0.7500
As1 As 0.5000 0.5000 0.5000
# Space group = F-43m (216)
# Crystal system = cubic
# Raw total energy = -6.05 eV/atom


20.
# GGA-PBE Lu2Mo4As3N3, optimized geometry
data_Lu2Mo4As3N3
_space_group_name_H-M_alt 'P 1'
_space_group_IT_number 1
_cell_length_a 5.7486
_cell_length_b 5.7486
_cell_length_c 12.4377
_cell_angle_alpha 102.91
_cell_angle_beta 102.91
_cell_angle_gamma 60.67
loop_
_space_group_symop_operation_xyz
'x,y,z'
loop_
_atom_site_label
_atom_site_type_symbol
_atom_site_fract_x
_atom_site_fract_y
_atom_site_fract_z
Lu1 Lu 0.0329 0.8643 0.6059
Lu2 Lu 0.1357 0.9671 0.8941
Lu3 Lu 0.8643 0.0329 0.1059
Lu4 Lu 0.9671 0.1357 0.3941
Mo1 Mo 0.2001 0.3727 0.0832
Mo2 Mo 0.3206 0.4579 0.4169
Mo3 Mo 0.3727 0.2001 0.5832
Mo4 Mo 0.4579 0.3206 0.9169
Mo5 Mo 0.5421 0.6794 0.0831
Mo6 Mo 0.6273 0.7999 0.4168
Mo7 Mo 0.6794 0.5421 0.5831
Mo8 Mo 0.7999 0.6273 0.9168
As1 As 0.0769 0.2930 0.7472
As2 As 0.2930 0.0769 0.2472
As3 As 0.4515 0.5485 0.7500
As4 As 0.5485 0.4515 0.2500
As5 As 0.7070 0.9231 0.7528
As6 As 0.9231 0.7070 0.2528
N1 N 0.0000 0.5000 0.5000
N2 N 0.1612 0.6779 0.0000
N3 N 0.3221 0.8388 0.5000
N4 N 0.5000 0.0000 0.0000
N5 N 0.6779 0.1612 0.5000
N6 N 0.8388 0.3221 0.0000
# Space group = C2/c (15)
# Crystal system = monoclinic
# Raw total energy = -8.21 eV/atom